The following is a PBE calculation of a geometry-optimized ReSb2P structure, from Alexandria via LeMat-Bulk.

Lattice parameters (Å, degrees): 3.2391 3.2391 27.2541 90.00 90.00 120.00
Closest atoms and distances in Å follow each position.
Space group R3m (No. 160, hexagonal axes)
Inequivalent atoms, fractional coordinates:
Re 0.0000 0.0000 0.0000 (multiplicity 3)  3 P 2.40
Sb 0.0000 0.0000 0.5224 (multiplicity 3)  3 P 3.06, 6 Sb 3.24
Sb 0.0000 0.0000 0.7438 (multiplicity 3)  3 Re 2.81
P 0.0000 0.0000 0.2780 (multiplicity 3)  3 Re 2.40

Properties
The magnetization is 0.00 μB/f.u. As for the mass density: 9.3 Mg/m³.

***

The following is a PBE calculation of a geometry-optimized ReSb2P structure, from Alexandria via LeMat-Bulk.

Lattice parameters (Å, degrees): 4.4062 4.9072 8.0141 90.00 90.00 90.00
Closest atoms and distances in Å follow each position.
Space group Amm2 (No. 38)
Inequivalent atoms, fractional coordinates:
Re 0.0000 0.0000 0.0000 (multiplicity 2)  2 P 2.41, 2 Sb 2.69
Sb 0.0000 0.0000 0.3632 (multiplicity 2)  3 Re 2.69-2.91, 2 P 2.92
Sb 0.5000 0.0000 0.7770 (multiplicity 2)  3 P 2.75-2.77, 2 Re 2.84
P 0.5000 0.0000 0.1232 (multiplicity 2)  2 Re 2.41

Properties
The magnetization is 0.00 μB/f.u. As for the mass density: 8.8 Mg/m³.

***

The following is a PBE calculation of a geometry-optimized ReSbP4 structure, from Alexandria via LeMat-Bulk.

Lattice parameters (Å, degrees): 7.2518 7.2518 7.2518 90.00 90.00 90.00
Closest atoms and distances in Å follow each position.
Space group F-43m (No. 216)
Inequivalent atoms, fractional coordinates:
Re 0.0000 0.0000 0.0000 (multiplicity 4)  12 P 3.01, 4 Sb 3.14
Sb 0.2500 0.2500 0.7500 (multiplicity 4)  12 P 3.00, 4 Re 3.14
P 0.1224 0.1224 0.3776 (multiplicity 16)  6 P 2.51-2.62

Properties
The magnetization is 0.00 μB/f.u. As for the mass density: 7.5 Mg/m³.

***

The following is a PBE calculation of a geometry-optimized ReSbP3 structure, from Alexandria via LeMat-Bulk.

Lattice parameters (Å, degrees): 4.6737 4.6737 4.6737 90.00 90.00 90.00
Closest atoms and distances in Å follow each position.
Space group Pm-3m (No. 221)
Inequivalent atoms, fractional coordinates:
Re 0.0000 0.0000 0.0000 (multiplicity 1)  6 P 2.34
Sb 0.5000 0.5000 0.5000 (multiplicity 1)  12 P 3.30
P 0.0000 0.0000 0.5000 (multiplicity 3)  2 Re 2.34

Properties
The energy above the lowest structure with this stoichiometry comes out at 0.0 meV/atom. The magnetization is 0.00 μB/f.u. As for the mass density: 6.5 Mg/m³.

***

The following is a PBE calculation of a geometry-optimized Re2SbP structure, from Alexandria via LeMat-Bulk.

Lattice parameters (Å, degrees): 6.2805 6.2805 6.2805 90.00 90.00 90.00
Closest atoms and distances in Å follow each position.
Space group Fm-3m (No. 225)
Inequivalent atoms, fractional coordinates:
Re 0.2500 0.2500 0.2500 (multiplicity 8)  4 Sb 2.72, 4 P 2.72
Sb 0.0000 0.0000 0.0000 (multiplicity 4)  8 Re 2.72
P 0.0000 0.0000 0.5000 (multiplicity 4)  8 Re 2.72

Properties
The energy above the lowest structure with this stoichiometry comes out at 331.6 meV/atom. The magnetization is 0.00 μB/f.u. As for the mass density: 14.1 Mg/m³.

***

The following is a PBE calculation of a geometry-optimized Re2SbP structure, from Alexandria via LeMat-Bulk.

Lattice parameters (Å, degrees): 3.0642 5.1331 8.5693 90.00 90.00 90.00
Closest atoms and distances in Å follow each position.
Space group Cmmm (No. 65)
Inequivalent atoms, fractional coordinates:
Re 0.0000 0.0000 0.2041 (multiplicity 4)  2 P 2.33
Sb 0.0000 0.5000 0.5000 (multiplicity 2)  4 Re 2.96, 6 Sb 2.99-3.06
P 0.0000 0.5000 0.0000 (multiplicity 2)  4 Re 2.33

Properties
The energy above the lowest structure with this stoichiometry comes out at 546.3 meV/atom. The magnetization is 0.00 μB/f.u. As for the mass density: 12.9 Mg/m³.

***

Number 1: DOS at the Fermi energy 7.96 states/eV/cell, formation energy from raw total energies 18.48 kJ per mole of atoms, total energy -76.0 eV/cell. Number 2: DOS at the Fermi energy 2.47 states/eV/cell, formation energy from raw total energies 25.74 kJ per mole of atoms, total energy -50.1 eV/cell. Number 3: DOS at the Fermi energy 20.93 states/eV/cell, formation energy from raw total energies 103.35 kJ per mole of atoms, total energy -127.1 eV/cell. Number 4: DOS at the Fermi energy 4.10 states/eV/cell, formation energy from raw total energies 59.33 kJ per mole of atoms, total energy -29.7 eV/cell. Number 5: DOS at the Fermi energy 10.10 states/eV/cell, formation energy from raw total energies 43.60 kJ per mole of atoms, total energy -130.5 eV/cell. Number 6: DOS at the Fermi energy 7.01 states/eV/cell, formation energy from raw total energies 64.31 kJ per mole of atoms, total energy -63.5 eV/cell.